[1]
MoPPb2: relaxed, GGA-PBEsol.

abc: 4.188 5.399 5.399
angles: 43.00 90.00 90.00
Atoms (fractional coordinates):
Mo 0.000 0.000 0.000
P 0.500 0.880 0.880
Pb 0.000 0.290 0.290
Pb 0.500 0.598 0.598

E_form (eV/atom): 0.2301
Total magnetic moment (μB/atom): 0.000
Volume (Å³ per atom): 20.8
VASP energy (eV per atom): -6.159
Fermi-level density of states (states/eV/cell): 2.01



[2]
MoP2PdS: relaxed, GGA-PBEsol.

abc: 4.633 4.633 4.506
angles: 90.00 90.00 90.00
Atoms (fractional coordinates):
Mo 0.000 0.000 0.000
P 0.000 0.500 0.000
P 0.500 0.000 0.000
Pd 0.500 0.500 0.500
S 0.000 0.000 0.500

E_form (uncorrected) (kJ per mole of atoms): 55.7
Total magnetic moment (μB/atom): 0.000
Volume (Å³ per atom): 19.3
VASP energy (eV per atom): -6.162
Fermi-level density of states (states/eV/cell): 3.56



[3]
MoPPt2: relaxed, GGA-PBEsol.

abc: 2.798 4.141 5.175
angles: 90.00 104.90 90.00
Atoms (fractional coordinates):
Mo 0.000 0.000 0.000
P 0.500 0.000 0.500
Pt 0.397 0.500 0.742
Pt 0.603 0.500 0.258

E_form (eV/atom): -0.1777
Total magnetic moment (μB/atom): 0.000
Volume (Å³ per atom): 14.5
VASP energy (eV per atom): -8.049
Fermi-level density of states (states/eV/cell): 2.71



[4]
MoP2Pt: relaxed, GGA-PBEsol.

abc: 3.057 3.057 5.810
angles: 90.00 90.00 90.00
Atoms (fractional coordinates):
Mo 0.000 0.000 0.000
P 0.500 0.500 0.232
P 0.500 0.500 0.768
Pt 0.000 0.000 0.500

E_form (eV/atom): -0.2597
Total magnetic moment (μB/atom): 0.000
Volume (Å³ per atom): 13.6
VASP energy (eV per atom): -7.838
Fermi-level density of states (states/eV/cell): 2.58



[5]
MoPPt4: relaxed, GGA-PBEsol.

abc: 5.157 5.157 5.157
angles: 60.00 60.00 60.00
Atoms (fractional coordinates):
Mo 0.000 0.000 0.000
P 0.250 0.250 0.250
Pt 0.124 0.625 0.625
Pt 0.625 0.124 0.625
Pt 0.625 0.625 0.124
Pt 0.625 0.625 0.625

E_form (eV/atom): 0.4896
Total magnetic moment (μB/atom): 0.288
Volume (Å³ per atom): 16.2
VASP energy (eV per atom): -7.079
Fermi-level density of states (states/eV/cell): 6.60



[6]
MoP2Pt: relaxed, GGA-PBEsol.

abc: 4.210 4.210 4.920
angles: 94.83 94.83 41.58
Atoms (fractional coordinates):
Mo 0.000 0.000 0.000
P 0.275 0.275 0.792
P 0.725 0.725 0.208
Pt 0.500 0.500 0.500

E_form (eV/atom): -0.2046
Total magnetic moment (μB/atom): 0.000
Volume (Å³ per atom): 14.4
VASP energy (eV per atom): -7.783
Fermi-level density of states (states/eV/cell): 2.56



[7]
Mo2PPt: relaxed, GGA-PBEsol.

abc: 2.753 2.753 7.997
angles: 90.00 90.00 105.06
Atoms (fractional coordinates):
Mo 0.000 0.000 0.000
Mo 0.500 0.500 0.266
P 0.500 0.500 0.772
Pt 0.000 0.000 0.532

E_form (eV/atom): 0.0559
Total magnetic moment (μB/atom): 0.000
Volume (Å³ per atom): 14.6
VASP energy (eV per atom): -9.017
Fermi-level density of states (states/eV/cell): 2.86



[8]
Rb2MoP: relaxed, GGA-PBEsol.

abc: 9.501 9.501 9.501
angles: 93.46 93.46 151.56
Atoms (fractional coordinates):
Rb 0.375 0.075 0.200
Rb 0.825 0.625 0.700
Rb 0.875 0.175 0.800
Rb 0.925 0.125 0.300
Mo 0.250 0.750 0.500
Mo 0.500 0.500 0.000
P 0.000 0.000 0.000
P 0.750 0.250 0.500

E_form (eV/atom): 0.5923
Total magnetic moment (μB/atom): 0.785
Volume (Å³ per atom): 49.5
VASP energy (eV per atom): -4.310
Fermi-level density of states (states/eV/cell): 4.76